# LaEuLuIn

An optimized crystal structure of LaEuLuIn (PBE, the Alexandria database).

The structure in extended XYZ format:
```
4
Lattice="5.620 0.000 0.000 2.810 4.867 0.000 2.810 1.622 4.589" Properties=species:S:1:pos:R:3 pbc="T T T"
Eu 8.430 4.867 3.442
Lu 5.620 3.245 2.294
La 2.810 1.622 1.147
In 0.000 0.000 0.000
```

Calculated values
E_tot in eV/atom: -5.76
Energy relative to the elements in eV per atom: -0.147
Magnetic moment in μB per atom: 1.8825
Calculated density in g cm⁻³: 7.68

# Np2VOs

An optimized crystal structure of Np2VOs (PBE, the Alexandria database).

The structure in extended XYZ format:
```
4
Lattice="-1.080 1.843 -1.811 0.075 -0.529 -2.749 -9.216 -4.141 -0.882" Properties=species:S:1:pos:R:3 pbc="T T T"
Np -2.872 -0.260 -2.882
Np -7.349 -2.567 -2.561
Os 0.000 0.000 0.000
V -5.111 -1.414 -2.722
```

Calculated values
E_tot in eV/atom: -11.07
Energy relative to the elements in eV per atom: 0.487
Magnetic moment in μB per atom: 0.7949
Calculated density in g cm⁻³: 17.46

# BaFeSi2

An optimized crystal structure of BaFeSi2 (PBE, the Alexandria database).

The structure in extended XYZ format:
```
4
Lattice="5.419 -0.017 0.011 0.053 5.418 -0.011 -1.638 -3.813 3.484" Properties=species:S:1:pos:R:3 pbc="T T T"
Ba 2.812 2.776 0.000
Fe -0.057 1.528 1.736
Si 0.067 0.066 0.000
Si 3.748 -0.081 1.748
```

Calculated values
E_tot in eV/atom: -5.00
Raw formation energy in meV per atom: 309
Magnetic moment in μB per atom: 0.5381
Calculated density in g cm⁻³: 4.05

# VCr4Tc

An optimized crystal structure of VCr4Tc (PBE, the Alexandria database).

The structure in extended XYZ format:
```
6
Lattice="-1.987 -1.878 0.998 0.325 -1.618 -2.397 6.333 -4.596 3.960" Properties=species:S:1:pos:R:3 pbc="T T T"
V 2.336 -4.046 1.280
Cr 4.381 -5.531 2.559
Cr 0.290 -2.560 0.001
Cr 0.448 -5.027 -0.080
Cr 4.223 -3.065 2.641
Tc 0.000 0.000 0.000
```

Calculated values
E_tot in eV/atom: -9.70
Energy relative to the elements in eV per atom: -0.039
Magnetic moment in μB per atom: 0.0009
Calculated density in g cm⁻³: 7.98
Energy relative to the lowest polymorph listed for this composition in meV/atom: 0

# KTl2Mo2

An optimized crystal structure of KTl2Mo2 (PBE, the Alexandria database).

The structure in extended XYZ format:
```
5
Lattice="3.593 0.000 0.000 0.000 3.593 0.000 1.796 1.796 10.430" Properties=species:S:1:pos:R:3 pbc="T T T"
K 0.000 0.000 0.000
Tl 1.796 1.796 2.699
Tl 3.593 3.593 7.731
Mo 3.593 1.796 5.215
Mo 1.796 3.593 5.215
```

Calculated values
E_tot in eV/atom: -5.05
Energy relative to the elements in eV per atom: 0.451
Magnetic moment in μB per atom: 0.0000
Calculated density in g cm⁻³: 7.89
Energy relative to the lowest polymorph listed for this composition in meV/atom: 0

# BeHg2

An optimized crystal structure of BeHg2 (PBE, the Alexandria database).

The structure in extended XYZ format:
```
6
Lattice="1.497 6.595 0.034 -1.497 6.595 0.034 0.000 3.300 5.832" Properties=species:S:1:pos:R:3 pbc="T T T"
Be 0.000 9.177 3.622
Be 0.000 7.313 2.277
Hg 0.000 4.345 4.505
Hg 0.000 13.821 4.570
Hg 0.000 2.669 1.329
Hg 0.000 12.145 1.394
```

Calculated values
E_tot in eV/atom: -1.09
Energy relative to the elements in eV per atom: 0.352
Magnetic moment in μB per atom: 0.0000
Calculated density in g cm⁻³: 11.86
Energy relative to the lowest polymorph listed for this composition in meV/atom: 50

# Ce8Pu2Pb

An optimized crystal structure of Ce8Pu2Pb (PBE, the Alexandria database).

The structure in extended XYZ format:
```
11
Lattice="5.480 -0.641 -1.232 -1.974 6.901 -2.707 0.138 -0.195 8.133" Properties=species:S:1:pos:R:3 pbc="T T T"
Pb -1.196 5.225 5.212
Ce 3.465 1.559 5.624
Ce 5.460 -0.478 3.975
Ce 0.764 1.832 0.237
Ce 3.993 -0.199 0.272
Ce -0.031 5.601 0.096
Ce 4.090 2.186 1.762
Ce 1.340 3.237 5.426
Ce 1.262 5.001 2.556
Pu 3.054 3.978 -0.086
Pu 1.637 1.547 2.800
```

Calculated values
E_tot in eV/atom: -7.25
Energy relative to the elements in eV per atom: 0.013
Magnetic moment in μB per atom: 1.0957
Calculated density in g cm⁻³: 10.21

# CsRbCuI2

An optimized crystal structure of CsRbCuI2 (PBE, the Alexandria database).

The structure in extended XYZ format:
```
5
Lattice="-4.082 0.689 5.769 -3.909 -5.907 -2.061 4.427 -4.197 3.634" Properties=species:S:1:pos:R:3 pbc="T T T"
Cs 0.000 0.000 0.000
I 2.214 -2.099 1.817
I -2.041 0.345 2.885
Cu -1.782 -4.708 3.671
Rb -1.955 -2.954 -1.030
```

Calculated values
E_tot in eV/atom: -1.85
Raw formation energy in meV per atom: -43
Magnetic moment in μB per atom: 0.2000
Calculated density in g cm⁻³: 2.39

Number 1: DOS(E_F) 3.9 states/eV/f.u., V 31.4 Å³/atom. Number 2: DOS(E_F) 7.1 states/eV/f.u., V 17.0 Å³/atom. Number 3: DOS(E_F) 5.0 states/eV/f.u., V 25.5 Å³/atom. Number 4: DOS(E_F) 5.8 states/eV/f.u., V 12.4 Å³/atom. Number 5: DOS(E_F) 2.0 states/eV/f.u., V 26.9 Å³/atom. Number 6: DOS(E_F) 0.9 states/eV/f.u., V 19.1 Å³/atom. Number 7: DOS(E_F) 29.2 states/eV/f.u., V 26.8 Å³/atom. Number 8: DOS(E_F) 0.0 states/eV/f.u., V 74.4 Å³/atom.